Here is an optimized crystal structure of Sr4Sn2Cl from Alexandria via LeMat-Bulk. Energies are from GGA-PBE.

Raw formation energy = -82.5 kJ per mole of atoms
Mass density = 3.88 g/cm3
Magnetic moment = 0.00 μB/cell
Space-group type = I4/mmm (139)
Electronic total energy = -3.2234 eV/atom

abc: 9.513 9.513 9.513
angles: 146.08 146.08 48.73
Sites, in units of the cell vectors:
Sr 0.000 0.500 0.500
Sr 0.185 0.185 0.000
Sr 0.500 0.000 0.500
Sr 0.815 0.815 0.000
Sn 0.377 0.377 0.000
Sn 0.623 0.623 0.000
Cl 0.000 0.000 0.000